*P*
{
  "formula": "K2FeAg",
  "functional": "PBE",
  "state": "optimized geometry",
  "space_group": "No. 12",
  "lattice_angstrom": [[3.972, -1.477, 0.000], [3.972, 1.477, 0.000], [-0.414, 0.000, 10.288]],
  "species": ["K", "K", "Fe", "Ag"],
  "fractional_positions": [[0.249, 0.249, 0.250], [0.751, 0.751, 0.750], [0.000, 0.000, 0.500], [0.500, 0.500, 0.000]]
}

***

*Q*
{
  "formula": "K2FeAg",
  "functional": "PBE",
  "state": "optimized geometry",
  "space_group": "No. 123",
  "lattice_angstrom": [[3.672, 0.000, 0.000], [0.000, 3.672, 0.000], [0.000, 0.000, 9.489]],
  "species": ["K", "K", "Fe", "Ag"],
  "fractional_positions": [[0.000, 0.000, 0.243], [0.000, 0.000, 0.757], [0.500, 0.500, 0.500], [0.500, 0.500, 0.000]]
}

***

*R*
{
  "formula": "K2FeAg",
  "functional": "PBE",
  "state": "optimized geometry",
  "space_group": "No. 47",
  "lattice_angstrom": [[3.975, 0.000, 0.000], [0.000, 4.470, 0.000], [0.000, 0.000, 7.418]],
  "species": ["K", "K", "Fe", "Ag"],
  "fractional_positions": [[0.000, 0.000, 0.244], [0.000, 0.000, 0.756], [0.500, 0.500, 0.500], [0.500, 0.500, 0.000]]
}

***

Which structure wins on stability? *Q* wins.

***

*P*
{
  "formula": "K2FeAg",
  "functional": "PBE",
  "state": "optimized geometry",
  "space_group": "No. 25",
  "lattice_angstrom": [[3.668, 0.000, 0.000], [0.000, 3.681, 0.000], [0.000, 0.000, 10.065]],
  "species": ["K", "K", "Fe", "Ag"],
  "fractional_positions": [[0.000, 0.000, 0.000], [0.500, 0.500, 0.414], [0.500, 0.500, 0.733], [0.000, 0.000, 0.673]]
}

***

*Q*
{
  "formula": "K2FeAg",
  "functional": "PBE",
  "state": "optimized geometry",
  "space_group": "No. 166",
  "lattice_angstrom": [[1.690, 0.975, 11.214], [-1.690, 0.975, 11.214], [0.000, -1.951, 11.214]],
  "species": ["K", "K", "Fe", "Ag"],
  "fractional_positions": [[0.250, 0.250, 0.250], [0.750, 0.750, 0.750], [0.500, 0.500, 0.500], [0.000, 0.000, 0.000]]
}

***

Which structure wins on stability? *P* wins.